Computed, not measured: a geometry-optimized Dy3Er2Se6 structure at the PBE-GGA level of DFT.

```
data_Dy3Er2Se6
_chemical_formula_sum 'Dy3 Er2 Se6'
_space_group_name_H-M_alt 'P 1'
_space_group_IT_number 1
_space_group_name_Hall 'P 1'
_cell_length_a 4.088
_cell_length_b 4.088
_cell_length_c 20.268
_cell_angle_alpha 84.21
_cell_angle_beta 84.21
_cell_angle_gamma 60.00
loop_
_atom_site_label
_atom_site_type_symbol
_atom_site_fract_x
_atom_site_fract_y
_atom_site_fract_z
Se1 Se 0.361 0.361 0.918
Se2 Se 0.083 0.083 0.752
Se3 Se 0.197 0.197 0.409
Se4 Se 0.639 0.639 0.082
Se5 Se 0.803 0.803 0.591
Se6 Se 0.917 0.917 0.248
Dy1 Dy 0.000 0.000 0.000
Dy2 Dy 0.721 0.721 0.838
Dy3 Dy 0.279 0.279 0.162
Er1 Er 0.553 0.553 0.340
Er2 Er 0.447 0.447 0.660
```

Computed properties:
ΔE_f (raw), meV per atom: -1770
Total energy, eV/cell: -63.31
Offset from the most stable computed form, meV/atom: 78